# Te3C PBE-GGA relaxed
# Symmetry ... Pmmn
# Magnetization ... 0.0 μB per formula unit
# Energy above the most stable polymorph in this dataset ... 1.09 eV per formula unit
data_Te3C
_chemical_formula_sum 'Te6 C2'
_cell_length_a 3.507
_cell_length_b 8.372
_cell_length_c 7.437
_cell_angle_alpha 90.00
_cell_angle_beta 90.00
_cell_angle_gamma 90.00
_space_group_name_H-M_alt 'P 1'
_space_group_IT_number 1
loop_
_space_group_symop_operation_xyz
'x,y,z'
loop_
_atom_site_label
_atom_site_type_symbol
_atom_site_fract_x
_atom_site_fract_y
_atom_site_fract_z
_atom_site_occupancy
Te1 Te 0.250 0.037 0.140 1
Te2 Te 0.250 0.250 0.550 1
Te3 Te 0.250 0.463 0.140 1
Te4 Te 0.750 0.537 0.860 1
Te5 Te 0.750 0.750 0.450 1
Te6 Te 0.750 0.963 0.860 1
C1 C 0.250 0.750 0.628 1
C2 C 0.750 0.250 0.372 1

# Tb3PmPr2Ho6 PBE-GGA relaxed
# Symmetry ... C2/m
# Magnetization ... 0.0 μB per formula unit
data_Tb3PmPr2Ho6
_chemical_formula_sum 'Tb3 Pm1 Pr2 Ho6'
_cell_length_a 6.200
_cell_length_b 6.200
_cell_length_c 11.797
_cell_angle_alpha 95.01
_cell_angle_beta 95.01
_cell_angle_gamma 119.97
_space_group_name_H-M_alt 'P 1'
_space_group_IT_number 1
loop_
_space_group_symop_operation_xyz
'x,y,z'
loop_
_atom_site_label
_atom_site_type_symbol
_atom_site_fract_x
_atom_site_fract_y
_atom_site_fract_z
_atom_site_occupancy
Tb1 Tb 0.000 0.000 0.000 1
Tb2 Tb 0.333 0.667 0.000 1
Tb3 Tb 0.667 0.333 0.000 1
Pm1 Pm 0.500 0.500 0.500 1
Pr1 Pr 0.167 0.833 0.500 1
Pr2 Pr 0.833 0.167 0.500 1
Ho1 Ho 0.082 0.415 0.247 1
Ho2 Ho 0.252 0.252 0.753 1
Ho3 Ho 0.415 0.082 0.247 1
Ho4 Ho 0.585 0.918 0.753 1
Ho5 Ho 0.748 0.748 0.247 1
Ho6 Ho 0.918 0.585 0.753 1

no.,final energy (eV/cell)
1,-28.7
2,-55.5